[1]
A plane-wave DFT calculation with PBE was carried out for a relaxed structure of VAgB2.

Lattice parameters (Å, degrees): 8.194 8.194 8.194 154.15 154.15 36.89
Fractional coordinates of all 8 atoms:
V 0.375 0.625 0.750
V 0.625 0.375 0.250
Ag 0.125 0.875 0.250
Ag 0.875 0.125 0.750
B 0.000 0.500 0.500
B 0.500 0.000 0.000
B 0.500 0.500 0.000
B 0.500 0.500 0.500

Summary:
The energy above the lowest structure with this stoichiometry comes out at 24 meV/atom. The calculation puts the formation energy at 0.866 eV per atom. Its density of states at the Fermi level is 4.34 states/eV/f.u. As for the total DFT energy (no corrections): -43.719 eV for the cell shown.



[2]
A plane-wave DFT calculation with PBE was carried out for a relaxed structure of CoSbS2N.

Lattice parameters (Å, degrees): 5.064 5.064 3.871 90.00 90.00 90.00
Fractional coordinates of all 5 atoms:
Co 0.000 0.000 0.000
Sb 0.500 0.500 0.500
S 0.000 0.500 0.500
S 0.500 0.000 0.500
N 0.500 0.500 0.000

Summary:
The energy above the lowest structure with this stoichiometry comes out at 908 meV/atom. Its density of states at the Fermi level is 4.46 states/eV/f.u. The uncorrected formation energy is 1215 meV per atom. As for the total DFT energy (no corrections): -21.736 eV for the cell shown.



[3]
A plane-wave DFT calculation with PBE was carried out for a relaxed structure of VAgS2.

Lattice parameters (Å, degrees): 6.908 6.908 6.908 137.91 137.91 61.05
Fractional coordinates of all 8 atoms:
V 0.375 0.625 0.750
V 0.625 0.375 0.250
Ag 0.125 0.875 0.250
Ag 0.875 0.125 0.750
S 0.172 0.422 0.750
S 0.422 0.172 0.250
S 0.578 0.828 0.750
S 0.828 0.578 0.250

Summary:
Its density of states at the Fermi level is 1.88 states/eV/f.u. The uncorrected formation energy is -417 meV per atom. As for the total DFT energy (no corrections): -43.785 eV for the cell shown.



[4]
A plane-wave DFT calculation with PBE was carried out for a relaxed structure of NaRePb2O6.

Lattice parameters (Å, degrees): 5.728 6.100 9.980 90.00 123.89 90.00
Fractional coordinates of all 20 atoms:
Na 0.000 0.000 0.000
Na 0.000 0.500 0.500
Re 0.500 0.000 0.500
Re 0.500 0.500 0.000
Pb 0.231 0.052 0.739
Pb 0.231 0.448 0.239
Pb 0.769 0.552 0.761
Pb 0.769 0.948 0.261
O 0.187 0.168 0.465
O 0.187 0.332 0.965
O 0.276 0.742 0.439
O 0.276 0.758 0.939
O 0.376 0.048 0.279
O 0.376 0.452 0.779
O 0.624 0.548 0.221
O 0.624 0.952 0.721
O 0.724 0.242 0.061
O 0.724 0.258 0.561
O 0.813 0.668 0.035
O 0.813 0.832 0.535

Summary:
The uncorrected formation energy is -1478 meV per atom. As for the total DFT energy (no corrections): -131.421 eV for the cell shown.



[5]
A plane-wave DFT calculation with PBE was carried out for a relaxed structure of Ba2YMg.

Lattice parameters (Å, degrees): 4.020 5.887 7.540 90.00 105.35 90.00
Fractional coordinates of all 4 atoms:
Ba 0.000 0.000 0.000
Ba 0.324 0.500 0.656
Y 0.718 0.000 0.445
Mg 0.607 0.500 0.217

Summary:
The calculation puts the formation energy at 0.169 eV per atom. Its density of states at the Fermi level is 6.35 states/eV/f.u. As for the total DFT energy (no corrections): -11.227 eV for the cell shown.



[6]
A plane-wave DFT calculation with PBE was carried out for a relaxed structure of PmMgCdSb.

Lattice parameters (Å, degrees): 5.298 5.298 5.298 60.00 60.00 60.00
Fractional coordinates of all 4 atoms:
Pm 0.000 0.000 0.000
Mg 0.500 0.500 0.500
Cd 0.250 0.250 0.250
Sb 0.750 0.750 0.750

Summary:
Its density of states at the Fermi level is 3.73 states/eV/f.u. The uncorrected formation energy is -334 meV per atom. As for the total DFT energy (no corrections): -12.719 eV for the cell shown.



[7]
A plane-wave DFT calculation with PBE was carried out for a relaxed structure of LuPuCdPb.

Lattice parameters (Å, degrees): 5.342 5.342 5.342 60.00 60.00 60.00
Fractional coordinates of all 4 atoms:
Lu 0.000 0.000 0.000
Pu 0.500 0.500 0.500
Cd 0.250 0.250 0.250
Pb 0.750 0.750 0.750

Summary:
The calculation puts the formation energy at -0.176 eV per atom. Its density of states at the Fermi level is 10.03 states/eV/f.u. As for the total DFT energy (no corrections): -24.181 eV for the cell shown.



[8]
A plane-wave DFT calculation with PBE was carried out for a relaxed structure of GaHRh3.

Lattice parameters (Å, degrees): 7.042 4.885 7.717 90.00 111.51 90.00
Fractional coordinates of all 20 atoms:
Ga 0.124 0.170 0.123
Ga 0.124 0.330 0.623
Ga 0.876 0.670 0.377
Ga 0.876 0.830 0.877
H 0.372 0.682 0.406
H 0.372 0.818 0.906
H 0.628 0.182 0.094
H 0.628 0.318 0.594
Rh 0.118 0.665 0.197
Rh 0.118 0.835 0.697
Rh 0.309 0.047 0.465
Rh 0.309 0.453 0.965
Rh 0.464 0.568 0.663
Rh 0.464 0.932 0.163
Rh 0.536 0.068 0.837
Rh 0.536 0.432 0.337
Rh 0.691 0.547 0.035
Rh 0.691 0.953 0.535
Rh 0.882 0.165 0.303
Rh 0.882 0.335 0.803

Summary:
The energy above the lowest structure with this stoichiometry comes out at 147 meV/atom. Its density of states at the Fermi level is 6.62 states/eV/f.u. As for the total DFT energy (no corrections): -116.634 eV for the cell shown.



[9]
A plane-wave DFT calculation with PBE was carried out for a relaxed structure of HfZn2Rh.

Lattice parameters (Å, degrees): 5.806 5.806 5.806 101.25 101.25 127.59
Fractional coordinates of all 8 atoms:
Hf 0.000 0.000 0.000
Hf 0.750 0.250 0.500
Zn 0.156 0.125 0.531
Zn 0.375 0.844 0.969
Zn 0.594 0.625 0.469
Zn 0.875 0.406 0.031
Rh 0.250 0.750 0.500
Rh 0.500 0.500 0.000

Summary:
The calculation puts the formation energy at -0.046 eV per atom. Its density of states at the Fermi level is 2.48 states/eV/f.u. As for the total DFT energy (no corrections): -40.070 eV for the cell shown.



[10]
A plane-wave DFT calculation with PBE was carried out for a relaxed structure of Li7Mg3Hg2.

Lattice parameters (Å, degrees): 15.309 15.309 4.380 90.00 90.00 165.52
Fractional coordinates of all 12 atoms:
Li 0.000 0.000 0.000
Li 0.078 0.922 0.500
Li 0.282 0.718 0.000
Li 0.421 0.579 0.000
Li 0.579 0.421 0.000
Li 0.718 0.282 0.000
Li 0.922 0.078 0.500
Mg 0.348 0.652 0.500
Mg 0.500 0.500 0.500
Mg 0.652 0.348 0.500
Hg 0.149 0.851 0.000
Hg 0.851 0.149 0.000

Summary:
The energy above the lowest structure with this stoichiometry comes out at 44 meV/atom. The calculation puts the formation energy at -0.080 eV per atom. Its density of states at the Fermi level is 4.96 states/eV/f.u. As for the total DFT energy (no corrections): -19.740 eV for the cell shown.



[11]
A plane-wave DFT calculation with PBE was carried out for a relaxed structure of CoTe2P.

Lattice parameters (Å, degrees): 3.038 3.038 9.831 90.00 90.00 97.23
Fractional coordinates of all 4 atoms:
Co 0.000 0.000 0.000
Te 0.000 0.000 0.567
Te 0.500 0.500 0.194
P 0.500 0.500 0.896

Summary:
Its density of states at the Fermi level is 2.42 states/eV/f.u. The uncorrected formation energy is 185 meV per atom. As for the total DFT energy (no corrections): -18.058 eV for the cell shown.



[12]
A plane-wave DFT calculation with PBE was carried out for a relaxed structure of TlCdCo2Br8.

Lattice parameters (Å, degrees): 10.489 10.489 10.489 37.44 37.44 37.44
Fractional coordinates of all 12 atoms:
Tl 0.000 0.000 0.000
Cd 0.500 0.500 0.500
Co 0.248 0.248 0.248
Co 0.752 0.752 0.752
Br 0.107 0.436 0.784
Br 0.216 0.893 0.564
Br 0.328 0.328 0.328
Br 0.436 0.784 0.107
Br 0.564 0.216 0.893
Br 0.672 0.672 0.672
Br 0.784 0.107 0.436
Br 0.893 0.564 0.216

Summary:
Its density of states at the Fermi level is 12.05 states/eV/f.u. The uncorrected formation energy is -486 meV per atom. As for the total DFT energy (no corrections): -36.710 eV for the cell shown.



[13]
A plane-wave DFT calculation with PBE was carried out for a relaxed structure of Ba2InAg.

Lattice parameters (Å, degrees): 4.622 4.622 9.714 103.64 103.64 59.74
Fractional coordinates of all 4 atoms:
Ba 0.245 0.245 0.234
Ba 0.755 0.755 0.766
In 0.000 0.000 0.500
Ag 0.500 0.500 0.000

Summary:
The calculation puts the formation energy at -0.162 eV per atom. Its density of states at the Fermi level is 3.06 states/eV/f.u. As for the total DFT energy (no corrections): -10.084 eV for the cell shown.



[14]
A plane-wave DFT calculation with PBE was carried out for a relaxed structure of Na2LiGeO4.

Lattice parameters (Å, degrees): 5.004 5.004 5.004 107.35 107.35 113.81
Fractional coordinates of all 8 atoms:
Na 0.000 0.500 0.500
Na 0.500 0.000 0.500
Li 0.000 0.000 0.000
Ge 0.500 0.500 0.000
O 0.125 0.125 0.677
O 0.448 0.448 0.323
O 0.552 0.875 0.000
O 0.875 0.552 0.000

Summary:
Its density of states at the Fermi level is 6.15 states/eV/f.u. The uncorrected formation energy is -1472 meV per atom. As for the total DFT energy (no corrections): -40.781 eV for the cell shown.



[15]
A plane-wave DFT calculation with PBE was carried out for a relaxed structure of CdSb2TeP.

Lattice parameters (Å, degrees): 5.208 5.208 5.389 90.00 90.00 90.00
Fractional coordinates of all 5 atoms:
Cd 0.000 0.000 0.000
Sb 0.000 0.500 0.500
Sb 0.500 0.000 0.500
Te 0.500 0.500 0.000
P 0.500 0.500 0.500

Summary:
The energy above the lowest structure with this stoichiometry comes out at 0 meV/atom. Its density of states at the Fermi level is 3.78 states/eV/f.u. The uncorrected formation energy is 505 meV per atom. As for the total DFT energy (no corrections): -15.188 eV for the cell shown.



[16]
A plane-wave DFT calculation with PBE was carried out for a relaxed structure of TbHo2Ru2.

Lattice parameters (Å, degrees): 5.431 4.402 10.198 90.00 98.36 90.00
Fractional coordinates of all 10 atoms:
Tb 0.070 0.250 0.280
Tb 0.930 0.750 0.720
Ho 0.255 0.250 0.974
Ho 0.389 0.250 0.613
Ho 0.611 0.750 0.387
Ho 0.745 0.750 0.026
Ru 0.136 0.750 0.454
Ru 0.251 0.750 0.151
Ru 0.749 0.250 0.849
Ru 0.864 0.250 0.546

Summary:
The energy above the lowest structure with this stoichiometry comes out at 89 meV/atom. The calculation puts the formation energy at -0.232 eV per atom. Its density of states at the Fermi level is 3.90 states/eV/f.u. As for the total DFT energy (no corrections): -66.996 eV for the cell shown.



[17]
A plane-wave DFT calculation with PBE was carried out for a relaxed structure of CrTc2W.

Lattice parameters (Å, degrees): 2.686 2.686 8.504 90.00 90.00 110.01
Fractional coordinates of all 4 atoms:
Cr 0.000 0.000 0.000
Tc 0.500 0.500 0.235
Tc 0.500 0.500 0.765
W 0.000 0.000 0.500

Summary:
The calculation puts the formation energy at 0.140 eV per atom. Its density of states at the Fermi level is 4.85 states/eV/f.u. As for the total DFT energy (no corrections): -42.750 eV for the cell shown.



[18]
A plane-wave DFT calculation with PBE was carried out for a relaxed structure of Tl2ReBr.

Lattice parameters (Å, degrees): 9.195 9.195 9.195 141.99 141.99 54.84
Fractional coordinates of all 8 atoms:
Tl 0.031 0.625 0.906
Tl 0.375 0.281 0.406
Tl 0.719 0.125 0.094
Tl 0.875 0.969 0.594
Re 0.000 0.000 0.000
Re 0.750 0.250 0.500
Br 0.250 0.750 0.500
Br 0.500 0.500 0.000

Summary:
The energy above the lowest structure with this stoichiometry comes out at 477 meV/atom. Its density of states at the Fermi level is 1.70 states/eV/f.u. The uncorrected formation energy is 1088 meV per atom. As for the total DFT energy (no corrections): -29.003 eV for the cell shown.



[19]
A plane-wave DFT calculation with PBE was carried out for a relaxed structure of Si2SbOs.

Lattice parameters (Å, degrees): 4.668 4.668 3.108 90.00 90.00 106.17
Fractional coordinates of all 4 atoms:
Si 0.000 0.500 0.000
Si 0.500 0.000 0.000
Sb 0.000 0.000 0.500
Os 0.500 0.500 0.500

Summary:
Its density of states at the Fermi level is 1.95 states/eV/f.u. The uncorrected formation energy is 640 meV per atom. As for the total DFT energy (no corrections): -23.639 eV for the cell shown.



[20]
A plane-wave DFT calculation with PBE was carried out for a relaxed structure of YEr3Ir4.

Lattice parameters (Å, degrees): 4.892 4.892 6.602 90.00 90.00 90.00
Fractional coordinates of all 8 atoms:
Y 0.000 0.000 0.000
Er 0.000 0.000 0.500
Er 0.500 0.500 0.000
Er 0.500 0.500 0.500
Ir 0.000 0.500 0.252
Ir 0.000 0.500 0.748
Ir 0.500 0.000 0.252
Ir 0.500 0.000 0.748

Summary:
The calculation puts the formation energy at -0.853 eV per atom. Its density of states at the Fermi level is 4.23 states/eV/f.u. As for the total DFT energy (no corrections): -62.417 eV for the cell shown.